[1]
Here is crystalline Ba2ZrCoTe at its relaxed geometry from Alexandria. Energies are from PBE.

Computed properties:
formation energy (no corrections)	-53	kJ/mol of formula units
crystal system	tetragonal
magnetic moment	1.63	μB/cell

Cell: 6.052 6.052 4.727 Å, 90.00 90.00 90.00°
Sites, in units of the cell vectors:
Ba  0.000  0.500  0.000
Ba  0.500  0.000  0.000
Zr  0.000  0.000  0.500
Co  0.000  0.000  0.000
Te  0.500  0.500  0.500

[2]
Here is crystalline MnCuN2 at its relaxed geometry from Alexandria. Energies are from PBE.

Computed properties:
formation energy (no corrections)	85	kJ/mol of formula units
E above lowest polymorph	163	meV/atom
crystal system	trigonal
magnetic moment	0.27	μB/cell

Cell: 6.216 6.216 6.216 Å, 25.11 25.11 25.11°
Sites, in units of the cell vectors:
Mn  0.000  0.000  0.000
Cu  0.500  0.500  0.500
N  0.397  0.397  0.397
N  0.603  0.603  0.603

[3]
Here is crystalline Ba2NaRhW at its relaxed geometry from Alexandria. Energies are from PBE.

Computed properties:
crystal system	tetragonal
magnetic moment	2.66	μB/cell
E_form	1.58	eV per atom

Cell: 5.811 5.811 5.523 Å, 90.00 90.00 90.00°
Sites, in units of the cell vectors:
Ba  0.000  0.500  0.000
Ba  0.500  0.000  0.000
Na  0.000  0.000  0.500
Rh  0.500  0.500  0.500
W  0.000  0.000  0.000

[4]
Here is crystalline La2EuSc at its relaxed geometry from Alexandria. Energies are from PBE.

Computed properties:
E above lowest polymorph	105	meV/atom
crystal system	trigonal
magnetic moment	8.28	μB/cell
E_form	0.17	eV per atom

Cell: 12.720 12.720 12.720 Å, 16.14 16.14 16.14°
Sites, in units of the cell vectors:
La  0.093  0.093  0.093
La  0.907  0.907  0.907
Eu  0.000  0.000  0.000
Sc  0.500  0.500  0.500

[5]
Here is crystalline TmP4Ru6 at its relaxed geometry from Alexandria. Energies are from PBE.

Computed properties:
crystal system	hexagonal
magnetic moment	0.00	μB/cell
E_form	-0.75	eV per atom

Cell: 6.940 6.940 3.723 Å, 90.00 90.00 120.00°
Sites, in units of the cell vectors:
Tm  0.000  0.000  0.000
P  0.189  0.378  0.500
P  0.189  0.811  0.500
P  0.622  0.811  0.500
P  0.667  0.333  0.000
Ru  0.070  0.535  0.000
Ru  0.396  0.198  0.500
Ru  0.465  0.535  0.000
Ru  0.465  0.930  0.000
Ru  0.802  0.198  0.500
Ru  0.802  0.604  0.500

[6]
Here is crystalline PmTmSc2P4 at its relaxed geometry from Alexandria. Energies are from PBE.

Computed properties:
crystal system	monoclinic
magnetic moment	0.00	μB/cell
E_form	-1.51	eV per atom

Cell: 6.744 3.909 6.764 Å, 90.00 109.55 90.00°
Sites, in units of the cell vectors:
Pm  0.000  0.000  0.000
Tm  0.000  0.500  0.500
Sc  0.500  0.000  0.500
Sc  0.500  0.500  0.000
P  0.265  0.000  0.750
P  0.269  0.500  0.262
P  0.731  0.500  0.738
P  0.735  0.000  0.250

[7]
Here is crystalline Sm4Er9Al11 at its relaxed geometry from Alexandria. Energies are from PBE.

Computed properties:
crystal system	orthorhombic
magnetic moment	0.00	μB/cell
E_form	-0.32	eV per atom

Cell: 13.604 13.604 3.338 Å, 90.00 90.00 111.21°
Sites, in units of the cell vectors:
Sm  0.098  0.262  0.000
Sm  0.262  0.098  0.000
Sm  0.738  0.902  0.000
Sm  0.902  0.738  0.000
Er  0.000  0.000  0.000
Er  0.111  0.666  0.000
Er  0.295  0.493  0.000
Er  0.334  0.889  0.000
Er  0.493  0.295  0.000
Er  0.507  0.705  0.000
Er  0.666  0.111  0.000
Er  0.705  0.507  0.000
Er  0.889  0.334  0.000
Al  0.088  0.465  0.500
Al  0.121  0.879  0.500
Al  0.310  0.310  0.500
Al  0.310  0.690  0.500
Al  0.465  0.088  0.500
Al  0.500  0.500  0.500
Al  0.535  0.912  0.500
Al  0.690  0.310  0.500
Al  0.690  0.690  0.500
Al  0.879  0.121  0.500
Al  0.912  0.535  0.500

[8]
Here is crystalline PtW2Se at its relaxed geometry from Alexandria. Energies are from PBE.

Computed properties:
formation energy (no corrections)	158	kJ/mol of formula units
crystal system	monoclinic
magnetic moment	0.00	μB/cell

Cell: 4.360 4.360 5.682 Å, 99.42 99.42 38.20°
Sites, in units of the cell vectors:
Pt  0.000  0.000  0.000
W  0.250  0.250  0.735
W  0.750  0.750  0.265
Se  0.500  0.500  0.500

[9]
Here is crystalline Pr2Zn4Cu5 at its relaxed geometry from Alexandria. Energies are from PBE.

Computed properties:
crystal system	orthorhombic
magnetic moment	0.00	μB/cell
E_form	-0.20	eV per atom

Cell: 9.064 8.298 5.302 Å, 80.32 64.47 35.21°
Sites, in units of the cell vectors:
Pr  0.138  0.138  0.862
Pr  0.862  0.862  0.138
Zn  0.215  0.530  0.470
Zn  0.470  0.785  0.215
Zn  0.530  0.215  0.785
Zn  0.785  0.470  0.530
Cu  0.000  0.000  0.500
Cu  0.250  0.250  0.250
Cu  0.500  0.500  0.000
Cu  0.500  0.500  0.500
Cu  0.750  0.750  0.750

[10]
Here is crystalline AcSmGe at its relaxed geometry from Alexandria. Energies are from PBE.

Computed properties:
E above lowest polymorph	0	meV/atom
crystal system	tetragonal
magnetic moment	1.68	μB/cell
E_form	-0.55	eV per atom

Cell: 4.669 4.669 8.553 Å, 90.00 90.00 90.00°
Sites, in units of the cell vectors:
Ac  0.250  0.250  0.142
Ac  0.750  0.750  0.858
Sm  0.250  0.750  0.500
Sm  0.750  0.250  0.500
Ge  0.250  0.250  0.750
Ge  0.750  0.750  0.250

[11]
Here is crystalline Mg2TlSb at its relaxed geometry from Alexandria. Energies are from PBE.

Computed properties:
formation energy (no corrections)	-39	kJ/mol of formula units
E above lowest polymorph	62	meV/atom
crystal system	orthorhombic
magnetic moment	0.00	μB/cell

Cell: 5.438 5.438 3.377 Å, 90.00 90.00 98.15°
Sites, in units of the cell vectors:
Mg  0.000  0.500  0.000
Mg  0.500  0.000  0.000
Tl  0.000  0.000  0.500
Sb  0.500  0.500  0.500

[12]
Here is crystalline CaTbLu2 at its relaxed geometry from Alexandria. Energies are from PBE.

Computed properties:
E above lowest polymorph	70	meV/atom
crystal system	tetragonal
magnetic moment	0.01	μB/cell
E_form	0.16	eV per atom

Cell: 5.038 5.038 5.068 Å, 90.00 90.00 90.00°
Sites, in units of the cell vectors:
Ca  0.000  0.000  0.000
Tb  0.500  0.500  0.000
Lu  0.000  0.500  0.500
Lu  0.500  0.000  0.500

[13]
Here is crystalline Cs2PuMg2O6 at its relaxed geometry from Alexandria. Energies are from PBE.

Computed properties:
formation energy (no corrections)	-2393	kJ/mol of formula units
crystal system	monoclinic
magnetic moment	2.00	μB/cell

Cell: 5.635 5.635 7.281 Å, 99.03 99.03 119.22°
Sites, in units of the cell vectors:
Cs  0.170  0.830  0.000
Cs  0.830  0.170  0.000
Pu  0.000  0.000  0.500
Mg  0.335  0.665  0.500
Mg  0.665  0.335  0.500
O  0.054  0.377  0.654
O  0.262  0.262  0.350
O  0.377  0.054  0.654
O  0.623  0.946  0.346
O  0.738  0.738  0.650
O  0.946  0.623  0.346

[14]
Here is crystalline Pr2IrPb at its relaxed geometry from Alexandria. Energies are from PBE.

Computed properties:
E above lowest polymorph	0	meV/atom
crystal system	orthorhombic
magnetic moment	0.00	μB/cell
E_form	-0.56	eV per atom

Cell: 7.912 7.912 7.409 Å, 90.00 90.00 149.97°
Sites, in units of the cell vectors:
Pr  0.144  0.856  0.502
Pr  0.144  0.856  0.998
Pr  0.856  0.144  0.002
Pr  0.856  0.144  0.498
Ir  0.301  0.699  0.750
Ir  0.699  0.301  0.250
Pb  0.499  0.501  0.750
Pb  0.501  0.499  0.250

[15]
Here is crystalline Tl2HgSbO4 at its relaxed geometry from Alexandria. Energies are from PBE.

Computed properties:
formation energy (no corrections)	-575	kJ/mol of formula units
crystal system	triclinic
magnetic moment	0.00	μB/cell

Cell: 5.943 5.952 6.503 Å, 117.17 117.02 90.15°
Sites, in units of the cell vectors:
Tl  0.000  0.000  0.000
Tl  0.249  0.750  0.499
Hg  0.500  0.500  0.001
Sb  0.750  0.250  0.501
O  0.068  0.532  0.721
O  0.468  0.349  0.283
O  0.652  0.188  0.721
O  0.811  0.933  0.279

[16]
Here is crystalline BeRe4Rh at its relaxed geometry from Alexandria. Energies are from PBE.

Computed properties:
crystal system	cubic
magnetic moment	0.00	μB/cell
E_form	0.65	eV per atom

Cell: 5.118 5.118 5.118 Å, 60.00 60.00 60.00°
Sites, in units of the cell vectors:
Be  0.000  0.000  0.000
Re  0.124  0.625  0.625
Re  0.625  0.124  0.625
Re  0.625  0.625  0.124
Re  0.625  0.625  0.625
Rh  0.250  0.250  0.250

[17]
Here is crystalline Ta2FePt9 at its relaxed geometry from Alexandria. Energies are from PBE.

Computed properties:
crystal system	tetragonal
magnetic moment	4.02	μB/cell
E_form	-0.53	eV per atom

Cell: 3.987 3.987 11.861 Å, 90.00 90.00 90.00°
Sites, in units of the cell vectors:
Ta  0.000  0.000  0.175
Ta  0.000  0.000  0.825
Fe  0.000  0.000  0.500
Pt  0.000  0.500  0.000
Pt  0.000  0.500  0.332
Pt  0.000  0.500  0.668
Pt  0.500  0.000  0.000
Pt  0.500  0.000  0.332
Pt  0.500  0.000  0.668
Pt  0.500  0.500  0.166
Pt  0.500  0.500  0.500
Pt  0.500  0.500  0.834

[18]
Here is crystalline Pr2Nd6Y3Tm at its relaxed geometry from Alexandria. Energies are from PBE.

Computed properties:
crystal system	monoclinic
magnetic moment	0.00	μB/cell
E_form	0.01	eV per atom

Cell: 6.323 6.323 12.026 Å, 95.02 95.02 120.01°
Sites, in units of the cell vectors:
Pr  0.167  0.833  0.000
Pr  0.833  0.167  0.000
Nd  0.085  0.416  0.748
Nd  0.252  0.252  0.252
Nd  0.416  0.085  0.748
Nd  0.584  0.915  0.252
Nd  0.748  0.748  0.748
Nd  0.915  0.584  0.252
Y  0.000  0.000  0.500
Y  0.334  0.666  0.500
Y  0.666  0.334  0.500
Tm  0.500  0.500  0.000

[19]
Here is crystalline MgTiNbAg2 at its relaxed geometry from Alexandria. Energies are from PBE.

Computed properties:
crystal system	tetragonal
magnetic moment	0.00	μB/cell
E_form	0.87	eV per atom

Cell: 5.048 5.048 4.564 Å, 90.00 90.00 90.00°
Sites, in units of the cell vectors:
Mg  0.000  0.000  0.000
Ti  0.500  0.500  0.500
Nb  0.500  0.500  0.000
Ag  0.000  0.500  0.500
Ag  0.500  0.000  0.500

[20]
Here is crystalline MnAl2Fe at its relaxed geometry from Alexandria. Energies are from PBE.

Computed properties:
crystal system	orthorhombic
magnetic moment	0.92	μB/cell
E_form	-0.22	eV per atom

Cell: 4.909 4.909 4.909 Å, 146.44 131.01 60.69°
Sites, in units of the cell vectors:
Mn  0.000  0.000  0.000
Al  0.252  0.752  0.500
Al  0.529  0.529  0.000
Fe  0.773  0.273  0.500

[21]
Here is crystalline Rb2BPbI6 at its relaxed geometry from Alexandria. Energies are from PBE.

Computed properties:
formation energy (no corrections)	-442	kJ/mol of formula units
crystal system	tetragonal
magnetic moment	0.00	μB/cell

Cell: 8.251 8.251 8.251 Å, 117.69 117.69 94.05°
Sites, in units of the cell vectors:
Rb  0.250  0.750  0.500
Rb  0.750  0.250  0.500
B  0.000  0.000  0.000
Pb  0.500  0.500  0.000
I  0.219  0.219  0.000
I  0.236  0.236  0.473
I  0.236  0.764  0.000
I  0.764  0.236  0.000
I  0.764  0.764  0.527
I  0.781  0.781  0.000

[22]
Here is crystalline CsCa2Se2O6 at its relaxed geometry from Alexandria. Energies are from PBE.

Computed properties:
formation energy (no corrections)	-1701	kJ/mol of formula units
crystal system	triclinic
magnetic moment	0.72	μB/cell

Cell: 6.151 6.505 6.721 Å, 113.57 115.68 92.58°
Sites, in units of the cell vectors:
Cs  0.000  0.000  0.000
Ca  0.320  0.671  0.658
Ca  0.680  0.329  0.342
Se  0.349  0.161  0.613
Se  0.651  0.839  0.387
O  0.090  0.315  0.542
O  0.437  0.613  0.341
O  0.494  0.140  0.894
O  0.506  0.860  0.106
O  0.563  0.387  0.659
O  0.910  0.685  0.458

[23]
Here is crystalline BeAlAs2 at its relaxed geometry from Alexandria. Energies are from PBE.

Computed properties:
E above lowest polymorph	192	meV/atom
crystal system	monoclinic
magnetic moment	0.00	μB/cell
E_form	0.02	eV per atom

Cell: 3.684 3.684 6.178 Å, 108.65 108.65 58.67°
Sites, in units of the cell vectors:
Be  0.000  0.000  0.000
Al  0.500  0.500  0.500
As  0.284  0.284  0.774
As  0.716  0.716  0.226

[24]
Here is crystalline La5Pm2NdHo at its relaxed geometry from Alexandria. Energies are from PBE.

Computed properties:
crystal system	tetragonal
magnetic moment	0.00	μB/cell
E_form	0.27	eV per atom

Cell: 10.065 10.065 10.065 Å, 125.90 125.90 80.06°
Sites, in units of the cell vectors:
La  0.000  0.000  0.000
La  0.069  0.569  0.917
La  0.152  0.069  0.500
La  0.348  0.848  0.917
La  0.431  0.348  0.500
La  0.500  0.500  0.000
La  0.569  0.652  0.500
La  0.652  0.152  0.083
La  0.848  0.931  0.500
La  0.931  0.431  0.083
Pm  0.114  0.386  0.500
Pm  0.386  0.886  0.272
Pm  0.614  0.114  0.728
Pm  0.886  0.614  0.500
Nd  0.250  0.250  0.000
Nd  0.750  0.750  0.000
Ho  0.250  0.750  0.500
Ho  0.750  0.250  0.500